Below is Sr2CeP3 after structural relaxation, with properties calculated at the PBE level.

Output
Spin magnetization ... 0.00 μB/atom
Crystal system ... orthorhombic
DOS at the Fermi energy ... 9.4 states/eV/f.u.
Energy of formation from the pure elements ... -1.07 eV/atom
Raw total energy ... -5.322 eV per atom

a = 4.219 Å, b = 6.024 Å, c = 7.473 Å
α = 113.77°, β = 106.40°, γ = 90.00°
Element x y z (fractional)
P (0.000, 0.000, 0.000)
P (0.354, 0.354, 0.709)
P (0.646, 0.646, 0.291)
Sr (0.672, 0.172, 0.344)
Sr (0.328, 0.828, 0.656)
Ce (0.000, 0.500, 0.000)